# 1
Below is a geometry-optimized SrIn2Si structure, with properties calculated at the PBE-GGA level.

Results
Uncorrected formation energy (meV per atom): -31

abc: 4.7016 4.7016 9.5724
angles: 90.00 90.00 90.00
Space group I-4m2 (No. 119)
Symmetry-distinct sites (fractional):
Sr 0.0000 0.0000 0.0000 [2 per cell]
In 0.0000 0.0000 0.5000 [2 per cell]
In 0.0000 0.5000 0.7500 [2 per cell]
Si 0.0000 0.5000 0.2500 [2 per cell]



# 2
Below is a geometry-optimized NpPPd2 structure, with properties calculated at the PBE-GGA level.

Results
Formation enthalpy at 0 K (eV per atom): -0.5297

abc: 4.0900 9.6990 7.0925
angles: 90.00 90.00 90.00
Space group Cmcm (No. 63)
Symmetry-distinct sites (fractional):
Np 0.0000 0.0546 0.2500 [4 per cell]
P 0.0000 0.2323 0.7500 [4 per cell]
Pd 0.0000 0.3566 0.0546 [8 per cell]



# 3
Below is a geometry-optimized CeHfCo structure, with properties calculated at the PBE-GGA level.

Results
Formation enthalpy at 0 K (eV per atom): -0.0857
E above lowest polymorph (eV per formula unit): 0.05

abc: 3.1810 3.1810 11.9820
angles: 90.00 90.00 90.00
Space group I4mm (No. 107)
Symmetry-distinct sites (fractional):
Ce 0.0000 0.0000 0.0000 [2 per cell]
Hf 0.0000 0.0000 0.2773 [2 per cell]
Co 0.0000 0.0000 0.6684 [2 per cell]



# 4
Below is a geometry-optimized TiAlP2S structure, with properties calculated at the PBE-GGA level.

Results
E above lowest polymorph (eV per formula unit): 2.49
Uncorrected formation energy (meV per atom): 611

abc: 4.6067 4.6067 4.3504
angles: 90.00 90.00 90.00
Space group P4/mmm (No. 123)
Symmetry-distinct sites (fractional):
Ti 0.0000 0.0000 0.0000 [1 per cell]
Al 0.5000 0.5000 0.0000 [1 per cell]
P 0.0000 0.5000 0.5000 [2 per cell]
S 0.5000 0.5000 0.5000 [1 per cell]



# 5
Below is a geometry-optimized YPt3 structure, with properties calculated at the PBE-GGA level.

Results
Formation enthalpy at 0 K (eV per atom): -0.9304

abc: 4.1317 4.1317 16.6241
angles: 90.00 90.00 90.00
Space group I4/mmm (No. 139)
Symmetry-distinct sites (fractional):
Y 0.0000 0.0000 0.1251 [4 per cell]
Pt 0.0000 0.0000 0.3774 [4 per cell]
Pt 0.0000 0.5000 0.0000 [4 per cell]
Pt 0.0000 0.5000 0.2500 [4 per cell]



# 6
Below is a geometry-optimized ErMgNi2 structure, with properties calculated at the PBE-GGA level.

Results
Formation enthalpy at 0 K (eV per atom): -0.3238

abc: 3.9387 3.6534 9.7831
angles: 90.00 90.00 90.00
Space group Amm2 (No. 38)
Symmetry-distinct sites (fractional):
Er 0.0000 0.0000 0.0000 [2 per cell]
Mg 0.5000 0.0000 0.7109 [2 per cell]
Ni 0.0000 0.0000 0.2826 [2 per cell]
Ni 0.5000 0.0000 0.4216 [2 per cell]



# 7
Below is a geometry-optimized Ce2Pm3ThTe6 structure, with properties calculated at the PBE-GGA level.

Results
Uncorrected formation energy (meV per atom): -1328

abc: 19.5580 4.4493 8.9998
angles: 90.00 104.05 90.00
Space group C2/m (No. 12)
Symmetry-distinct sites (fractional):
Ce 0.1660 0.0000 0.3322 [4 per cell]
Pm 0.0000 0.5000 0.5000 [2 per cell]
Pm 0.1655 0.0000 0.8339 [4 per cell]
Th 0.0000 0.5000 0.0000 [2 per cell]
Te 0.9996 0.0000 0.2522 [4 per cell]
Te 0.1666 0.5000 0.5845 [4 per cell]
Te 0.1678 0.5000 0.0828 [4 per cell]



# 8
Below is a geometry-optimized ZrMo2Cl structure, with properties calculated at the PBE-GGA level.

Results
E above lowest polymorph (eV per formula unit): 1.68
Uncorrected formation energy (meV per atom): 263

abc: 2.9213 5.0820 4.7699
angles: 90.00 90.60 90.00
Space group P2/m (No. 10)
Symmetry-distinct sites (fractional):
Zr 0.0000 0.0000 0.0000 [1 per cell]
Mo 0.3669 0.5000 0.2476 [2 per cell]
Cl 0.5000 0.0000 0.5000 [1 per cell]



# 9
Below is a geometry-optimized Tl2SeBr structure, with properties calculated at the PBE-GGA level.

Results
E above lowest polymorph (eV per formula unit): 0.38
Uncorrected formation energy (meV per atom): -391

abc: 8.0150 8.0150 3.6858
angles: 90.00 90.29 90.00
Space group C2/m (No. 12)
Symmetry-distinct sites (fractional):
Tl 0.2500 0.2500 0.0000 [4 per cell]
Se 0.0000 0.0000 0.5000 [2 per cell]
Br 0.0000 0.5000 0.5000 [2 per cell]



# 10
Below is a geometry-optimized Y2InCu structure, with properties calculated at the PBE-GGA level.

Results
Formation enthalpy at 0 K (eV per atom): -0.0897

abc: 3.6712 4.5230 6.2481
angles: 90.00 90.00 90.00
Space group Pmm2 (No. 25)
Symmetry-distinct sites (fractional):
Y 0.0000 0.0000 0.0000 [1 per cell]
Y 0.5000 0.5000 0.3381 [1 per cell]
In 0.5000 0.5000 0.8238 [1 per cell]
Cu 0.0000 0.0000 0.4986 [1 per cell]



# 11
Below is a geometry-optimized Cs2B3Pt4 structure, with properties calculated at the PBE-GGA level.

Results
Formation enthalpy at 0 K (eV per atom): -0.2013

abc: 6.4165 11.4569 13.0196
angles: 90.00 90.00 90.00
Space group Ibam (No. 72)
Symmetry-distinct sites (fractional):
Cs 0.2319 0.1185 0.0000 [8 per cell]
B 0.0000 0.2267 0.2500 [8 per cell]
B 0.0000 0.5000 0.2500 [4 per cell]
Pt 0.2163 0.3648 0.2426 [16 per cell]



# 12
Below is a geometry-optimized ScPBr2 structure, with properties calculated at the PBE-GGA level.

Results
E above lowest polymorph (eV per formula unit): 1.03
Uncorrected formation energy (meV per atom): -694

abc: 3.6962 4.9733 13.6295
angles: 90.00 90.00 90.00
Space group Imm2 (No. 44)
Symmetry-distinct sites (fractional):
Sc 0.0000 0.0000 0.0000 [2 per cell]
P 0.0000 0.5000 0.6306 [2 per cell]
Br 0.0000 0.0000 0.5680 [2 per cell]
Br 0.0000 0.5000 0.3546 [2 per cell]



# 13
Below is a geometry-optimized SrZnGa2Ir structure, with properties calculated at the PBE-GGA level.

Results
Formation enthalpy at 0 K (eV per atom): -0.4030

abc: 4.8189 4.8189 4.9162
angles: 90.00 90.00 90.00
Space group P4/mmm (No. 123)
Symmetry-distinct sites (fractional):
Sr 0.0000 0.0000 0.0000 [1 per cell]
Zn 0.5000 0.5000 0.0000 [1 per cell]
Ga 0.0000 0.5000 0.5000 [2 per cell]
Ir 0.5000 0.5000 0.5000 [1 per cell]



# 14
Below is a geometry-optimized TbNd2Sc structure, with properties calculated at the PBE-GGA level.

Results
Formation enthalpy at 0 K (eV per atom): 0.0560
E above lowest polymorph (eV per formula unit): 0.07

abc: 3.5702 3.5702 34.3412
angles: 90.00 90.00 120.00
Space group R3m (No. 160, hexagonal axes)
Symmetry-distinct sites (fractional):
Tb 0.0000 0.0000 0.0000 [3 per cell]
Nd 0.0000 0.0000 0.5810 [3 per cell]
Nd 0.0000 0.0000 0.7536 [3 per cell]
Sc 0.0000 0.0000 0.1677 [3 per cell]



# 15
Below is a geometry-optimized DyHo2Ga3 structure, with properties calculated at the PBE-GGA level.

Results
Formation enthalpy at 0 K (eV per atom): -0.5020
E above lowest polymorph (eV per formula unit): 0.48

abc: 4.5242 20.8524 6.1780
angles: 90.00 90.00 90.00
Space group Cmcm (No. 63)
Symmetry-distinct sites (fractional):
Dy 0.0000 0.1780 0.2500 [4 per cell]
Ho 0.0000 0.3592 0.2500 [4 per cell]
Ho 0.0000 0.4668 0.7500 [4 per cell]
Ga 0.0000 0.0627 0.5430 [8 per cell]
Ga 0.0000 0.2344 0.7500 [4 per cell]



# 16
Below is a geometry-optimized DyZn2Ge structure, with properties calculated at the PBE-GGA level.

Results
Formation enthalpy at 0 K (eV per atom): -0.4157
E above lowest polymorph (eV per formula unit): 0.00

abc: 4.1329 4.1329 4.4298
angles: 90.00 90.00 90.00
Space group P4/mmm (No. 123)
Symmetry-distinct sites (fractional):
Dy 0.0000 0.0000 0.0000 [1 per cell]
Zn 0.0000 0.5000 0.5000 [2 per cell]
Ge 0.5000 0.5000 0.0000 [1 per cell]



# 17
Below is a geometry-optimized La2HgGe4 structure, with properties calculated at the PBE-GGA level.

Results
Formation enthalpy at 0 K (eV per atom): -0.0355

abc: 5.1528 5.1528 15.0838
angles: 90.00 90.00 90.00
Space group I4/mmm (No. 139)
Symmetry-distinct sites (fractional):
La 0.0000 0.0000 0.1300 [4 per cell]
Hg 0.0000 0.0000 0.5000 [2 per cell]
Ge 0.0000 0.0000 0.3286 [4 per cell]
Ge 0.0000 0.5000 0.0000 [4 per cell]



# 18
Below is a geometry-optimized KLiU2S4 structure, with properties calculated at the PBE-GGA level.

Results
Uncorrected formation energy (meV per atom): -1373

abc: 4.0052 13.4009 13.9950
angles: 90.00 90.00 90.00
Space group Cmcm (No. 63)
Symmetry-distinct sites (fractional):
K 0.0000 0.1061 0.2500 [4 per cell]
Li 0.0000 0.1679 0.7500 [4 per cell]
U 0.0000 0.3683 0.0582 [8 per cell]
S 0.0000 0.0000 0.0000 [4 per cell]
S 0.0000 0.2637 0.6086 [8 per cell]
S 0.0000 0.4238 0.2500 [4 per cell]



# 19
Below is a geometry-optimized CaZrCdIn structure, with properties calculated at the PBE-GGA level.

Results
Formation enthalpy at 0 K (eV per atom): -0.1497

abc: 7.3306 7.3306 7.3306
angles: 90.00 90.00 90.00
Space group F-43m (No. 216)
Symmetry-distinct sites (fractional):
Ca 0.0000 0.0000 0.0000 [4 per cell]
Zr 0.0000 0.0000 0.5000 [4 per cell]
Cd 0.2500 0.2500 0.2500 [4 per cell]
In 0.2500 0.2500 0.7500 [4 per cell]



# 20
Below is a geometry-optimized Pm6DyTm3Th2 structure, with properties calculated at the PBE-GGA level.

Results
Formation enthalpy at 0 K (eV per atom): 0.0407

abc: 6.2201 10.7614 11.9073
angles: 90.00 100.03 90.00
Space group C2/m (No. 12)
Symmetry-distinct sites (fractional):
Pm 0.2469 0.0000 0.2498 [4 per cell]
Pm 0.2488 0.1680 0.7506 [8 per cell]
Dy 0.0000 0.5000 0.0000 [2 per cell]
Tm 0.0000 0.0000 0.5000 [2 per cell]
Tm 0.0000 0.3332 0.5000 [4 per cell]
Th 0.0000 0.1665 0.0000 [4 per cell]